Record 1
DFT (PBE) results for PrMg2Ag after structural relaxation.

The structure in CIF format:
```
data_PrMg2Ag
_cell_length_a 3.2837
_cell_length_b 3.2837
_cell_length_c 32.9715
_cell_angle_alpha 90.00
_cell_angle_beta 90.00
_cell_angle_gamma 120.00
_symmetry_space_group_name_H-M 'R -3 m'
_symmetry_Int_Tables_number 166
_symmetry_space_group_name_Hall '-R 3 2"'
loop_
_atom_site_label
_atom_site_type_symbol
_atom_site_fract_x
_atom_site_fract_y
_atom_site_fract_z
Pr1 Pr 0.0000 0.0000 0.0000
Mg1 Mg 0.0000 0.0000 0.1006
Ag1 Ag 0.0000 0.0000 0.5000
```

Calculated values
- Uncorrected energy: -2.560 eV/atom
- Spin magnetization: 0.00 μB/atom

Record 2
DFT (PBE) results for PrMg5Ag4 after structural relaxation.

The structure in CIF format:
```
data_PrMg5Ag4
_cell_length_a 3.389
_cell_length_b 3.389
_cell_length_c 18.039
_cell_angle_alpha 90.00
_cell_angle_beta 90.00
_cell_angle_gamma 90.00
_symmetry_space_group_name_H-M 'P 4/m m m'
_symmetry_Int_Tables_number 123
_symmetry_space_group_name_Hall '-P 4 2'
loop_
_atom_site_label
_atom_site_type_symbol
_atom_site_fract_x
_atom_site_fract_y
_atom_site_fract_z
Pr1 Pr 0.000 0.000 0.000
Mg1 Mg 0.500 0.500 0.140
Mg2 Mg 0.500 0.500 0.319
Mg3 Mg 0.500 0.500 0.500
Ag1 Ag 0.000 0.000 0.228
Ag2 Ag 0.000 0.000 0.410
```

Calculated values
- Uncorrected energy: -2.615 eV/atom
- Spin magnetization: 0.00 μB/atom

Record 3
DFT (PBE) results for PrMg2Ag after structural relaxation.

The structure in CIF format:
```
data_PrMg2Ag
_cell_length_a 17.027
_cell_length_b 8.130
_cell_length_c 5.775
_cell_angle_alpha 90.00
_cell_angle_beta 90.00
_cell_angle_gamma 90.00
_symmetry_space_group_name_H-M 'P n m a'
_symmetry_Int_Tables_number 62
loop_
_symmetry_equiv_pos_as_xyz
'x,y,z'
'-x,-y,-z'
'-x+1/2,-y,z+1/2'
'x+1/2,y,-z+1/2'
'x+1/2,-y+1/2,-z+1/2'
'-x+1/2,y+1/2,z+1/2'
'-x,y+1/2,-z'
'x,-y+1/2,z'
loop_
_atom_site_label
_atom_site_type_symbol
_atom_site_fract_x
_atom_site_fract_y
_atom_site_fract_z
Pr1 Pr 0.105 0.250 0.246
Pr2 Pr 0.140 0.750 0.451
Mg1 Mg 0.036 0.055 0.748
Mg2 Mg 0.215 0.555 0.951
Ag1 Ag 0.070 0.750 0.961
Ag2 Ag 0.181 0.250 0.739
```

Calculated values
- Uncorrected energy: -2.920 eV/atom
- Spin magnetization: 0.00 μB/atom

Record 4
DFT (PBE) results for Pr2Mg12Ag7 after structural relaxation.

The structure in CIF format:
```
data_Pr2Mg12Ag7
_cell_length_a 11.1251
_cell_length_b 11.1251
_cell_length_c 4.3656
_cell_angle_alpha 90.00
_cell_angle_beta 90.00
_cell_angle_gamma 120.00
_symmetry_space_group_name_H-M 'P -6'
_symmetry_Int_Tables_number 174
loop_
_symmetry_equiv_pos_as_xyz
'x,y,z'
'-x+y,-x,-z'
'-y,x-y,z'
'x,y,-z'
'-x+y,-x,z'
'-y,x-y,-z'
loop_
_atom_site_label
_atom_site_type_symbol
_atom_site_fract_x
_atom_site_fract_y
_atom_site_fract_z
Pr1 Pr 0.0000 0.0000 0.0000
Pr2 Pr 0.3333 0.6667 0.5000
Mg1 Mg 0.0487 0.7598 0.5000
Mg2 Mg 0.1057 0.3828 0.0000
Mg3 Mg 0.3840 0.2090 0.0000
Mg4 Mg 0.5384 0.1110 0.5000
Ag1 Ag 0.0763 0.6121 0.0000
Ag2 Ag 0.2452 0.0383 0.5000
Ag3 Ag 0.6667 0.3333 0.0000
```

Calculated values
- Uncorrected energy: -2.515 eV/atom
- Spin magnetization: 0.00 μB/atom

Record 5
DFT (PBE) results for Pr4MgAg after structural relaxation.

The structure in CIF format:
```
data_Pr4MgAg
_cell_length_a 5.123
_cell_length_b 5.133
_cell_length_c 8.069
_cell_angle_alpha 90.00
_cell_angle_beta 90.00
_cell_angle_gamma 90.00
_symmetry_space_group_name_H-M 'P m m 2'
_symmetry_Int_Tables_number 25
loop_
_symmetry_equiv_pos_as_xyz
'x,y,z'
'-x,-y,z'
'-x,y,z'
'x,-y,z'
loop_
_atom_site_label
_atom_site_type_symbol
_atom_site_fract_x
_atom_site_fract_y
_atom_site_fract_z
Pr1 Pr 0.000 0.000 0.000
Pr2 Pr 0.000 0.000 0.463
Pr3 Pr 0.500 0.500 0.000
Pr4 Pr 0.500 0.500 0.464
Mg1 Mg 0.500 0.000 0.732
Ag1 Ag 0.000 0.500 0.232
```

Calculated values
- Uncorrected energy: -3.715 eV/atom
- Spin magnetization: 0.00 μB/atom

Record 6
DFT (PBE) results for Pr4Mg3Ag after structural relaxation.

The structure in CIF format:
```
data_Pr4Mg3Ag
_cell_length_a 3.903
_cell_length_b 3.903
_cell_length_c 15.313
_cell_angle_alpha 90.00
_cell_angle_beta 90.00
_cell_angle_gamma 90.00
_symmetry_space_group_name_H-M 'P 4/m m m'
_symmetry_Int_Tables_number 123
_symmetry_space_group_name_Hall '-P 4 2'
loop_
_atom_site_label
_atom_site_type_symbol
_atom_site_fract_x
_atom_site_fract_y
_atom_site_fract_z
Pr1 Pr 0.000 0.000 0.119
Pr2 Pr 0.000 0.000 0.372
Mg1 Mg 0.500 0.500 0.248
Mg2 Mg 0.500 0.500 0.500
Ag1 Ag 0.500 0.500 0.000
```

Calculated values
- Uncorrected energy: -3.490 eV/atom
- Spin magnetization: 0.04 μB/atom

Record 7
DFT (PBE) results for PrMgAgRh after structural relaxation.

The structure in CIF format:
```
data_PrMgAgRh
_cell_length_a 6.986
_cell_length_b 6.986
_cell_length_c 6.986
_cell_angle_alpha 90.00
_cell_angle_beta 90.00
_cell_angle_gamma 90.00
_symmetry_space_group_name_H-M 'F -4 3 m'
_symmetry_Int_Tables_number 216
_symmetry_space_group_name_Hall 'F -4 2 3'
loop_
_atom_site_label
_atom_site_type_symbol
_atom_site_fract_x
_atom_site_fract_y
_atom_site_fract_z
Pr1 Pr 0.000 0.000 0.000
Mg1 Mg 0.000 0.000 0.500
Ag1 Ag 0.250 0.250 0.250
Rh1 Rh 0.250 0.250 0.750
```

Calculated values
- Uncorrected energy: -4.482 eV/atom
- Spin magnetization: 0.00 μB/atom

Record 8
DFT (PBE) results for PrMgAgRu after structural relaxation.

The structure in CIF format:
```
data_PrMgAgRu
_cell_length_a 6.946
_cell_length_b 6.946
_cell_length_c 6.946
_cell_angle_alpha 90.00
_cell_angle_beta 90.00
_cell_angle_gamma 90.00
_symmetry_space_group_name_H-M 'F -4 3 m'
_symmetry_Int_Tables_number 216
_symmetry_space_group_name_Hall 'F -4 2 3'
loop_
_atom_site_label
_atom_site_type_symbol
_atom_site_fract_x
_atom_site_fract_y
_atom_site_fract_z
Pr1 Pr 0.000 0.000 0.000
Mg1 Mg 0.000 0.000 0.500
Ag1 Ag 0.250 0.250 0.250
Ru1 Ru 0.250 0.250 0.750
```

Calculated values
- Uncorrected energy: -4.653 eV/atom
- Spin magnetization: 0.00 μB/atom